DFT (GGA-PBE) results for CsNpAu2I8 after structural relaxation.

a = 7.443 Å, b = 7.443 Å, c = 11.984 Å
α = 71.91°, β = 71.91°, γ = 60.00°
Fractional coordinates of all 12 atoms:
I  0.628  0.278  0.154
Cs  0.500  0.500  0.500
Au  0.244  0.244  0.269
Au  0.756  0.756  0.731
I  0.372  0.722  0.846
I  0.722  0.060  0.846
I  0.278  0.940  0.154
I  0.165  0.165  0.505
I  0.835  0.835  0.495
I  0.940  0.628  0.154
Np  0.000  0.000  0.000
I  0.060  0.372  0.846

Results
Raw formation energy (eV per atom): -0.542
Space group: R-3 (148)

=====

DFT (GGA-PBE) results for Rb2NaCeCl6 after structural relaxation.

a = 7.776 Å, b = 7.776 Å, c = 7.776 Å
α = 60.00°, β = 60.00°, γ = 60.00°
Fractional coordinates of all 10 atoms:
Cl  0.249  0.249  0.751
Na  0.500  0.500  0.500
Cl  0.249  0.751  0.249
Cl  0.751  0.249  0.249
Cl  0.249  0.751  0.751
Rb  0.250  0.250  0.250
Cl  0.751  0.751  0.249
Ce  0.000  0.000  0.000
Cl  0.751  0.249  0.751
Rb  0.750  0.750  0.750

Results
Raw formation energy (eV per atom): -2.035
Space group: Fm-3m (225)

=====

DFT (GGA-PBE) results for ZnIn2FePb after structural relaxation.

a = 5.912 Å, b = 5.108 Å, c = 5.912 Å
α = 90.00°, β = 90.00°, γ = 90.00°
Fractional coordinates of all 5 atoms:
In  0.500  0.000  0.000
In  0.000  0.000  0.500
Fe  0.500  0.500  0.500
Zn  0.000  0.500  0.000
Pb  0.000  0.000  0.000

Results
Space group: P4/mmm (123)
DFT formation energy (meV/atom): 1175

=====

DFT (GGA-PBE) results for ReMo2Pb after structural relaxation.

a = 3.337 Å, b = 4.677 Å, c = 4.449 Å
α = 90.00°, β = 90.00°, γ = 90.00°
Fractional coordinates of all 4 atoms:
Pb  0.500  0.000  0.500
Mo  0.500  0.500  0.000
Mo  0.000  0.000  0.000
Re  0.000  0.500  0.500

Results
Space group: Pmmm (47)
DFT formation energy (meV/atom): 769

=====

DFT (GGA-PBE) results for Nd8P3AuSe4 after structural relaxation.

a = 8.430 Å, b = 8.463 Å, c = 8.431 Å
α = 119.88°, β = 120.00°, γ = 90.00°
Fractional coordinates of all 16 atoms:
Se  0.500  0.000  0.500
Se  0.000  0.000  0.000
P  0.500  0.500  0.000
Nd  0.748  0.259  0.011
Nd  0.743  0.730  0.487
Nd  0.748  0.259  0.496
Se  0.500  0.000  0.000
Au  0.000  0.500  0.000
Nd  0.252  0.741  0.989
Nd  0.252  0.741  0.504
Nd  0.263  0.259  0.011
Nd  0.257  0.270  0.513
Se  0.000  0.000  0.500
P  0.000  0.500  0.500
Nd  0.737  0.741  0.989
P  0.500  0.500  0.500

Results
Raw formation energy (eV per atom): -1.634
Space group: R-3m (166)

=====

DFT (GGA-PBE) results for Y4P3S after structural relaxation.

a = 5.643 Å, b = 5.643 Å, c = 6.912 Å
α = 114.09°, β = 114.09°, γ = 90.00°
Fractional coordinates of all 8 atoms:
Y  0.500  0.000  0.000
P  0.750  0.250  0.500
S  0.000  0.000  0.000
P  0.500  0.500  0.000
P  0.250  0.750  0.500
Y  0.747  0.747  0.494
Y  0.253  0.253  0.506
Y  0.000  0.500  0.000

Results
Raw formation energy (eV per atom): -1.781
Space group: I4/mmm (139)

=====

DFT (GGA-PBE) results for Tl2InCo after structural relaxation.

a = 3.284 Å, b = 6.563 Å, c = 6.561 Å
α = 45.55°, β = 90.00°, γ = 90.00°
Fractional coordinates of all 4 atoms:
In  0.500  0.668  0.668
Co  0.000  0.502  0.502
Tl  0.500  0.326  0.326
Tl  0.000  0.003  0.003

Results
Space group: Amm2 (38)
E above lowest polymorph (meV/atom): 71.3
DFT formation energy (meV/atom): 298

=====

DFT (GGA-PBE) results for MgCdBiPb after structural relaxation.

a = 3.338 Å, b = 3.338 Å, c = 9.915 Å
α = 87.86°, β = 92.14°, γ = 91.11°
Fractional coordinates of all 4 atoms:
Cd  0.660  0.340  0.444
Bi  0.565  0.435  0.010
Pb  0.235  0.765  0.694
Mg  0.125  0.875  0.241

Results
Space group: Cm (8)
E above lowest polymorph (meV/atom): 0.0
DFT formation energy (meV/atom): -24

=====

DFT (GGA-PBE) results for Ti2NbAs2 after structural relaxation.

a = 6.906 Å, b = 6.906 Å, c = 3.445 Å
α = 90.00°, β = 90.00°, γ = 90.00°
Fractional coordinates of all 10 atoms:
As  0.854  0.646  0.000
As  0.354  0.854  0.000
Ti  0.348  0.152  0.500
Ti  0.152  0.652  0.500
Nb  0.500  0.500  0.000
As  0.646  0.146  0.000
Ti  0.848  0.348  0.500
Nb  0.000  0.000  0.000
As  0.146  0.354  0.000
Ti  0.652  0.848  0.500

Results
Space group: P4/mbm (127)
E above lowest polymorph (meV/atom): 0.0
DFT formation energy (meV/atom): -746

=====

DFT (GGA-PBE) results for ZrCu2Mo after structural relaxation.

a = 4.491 Å, b = 4.491 Å, c = 4.491 Å
α = 60.00°, β = 60.00°, γ = 60.00°
Fractional coordinates of all 4 atoms:
Mo  0.500  0.500  0.500
Cu  0.000  0.000  0.000
Zr  0.750  0.750  0.750
Cu  0.250  0.250  0.250

Results
Space group: F-43m (216)
E above lowest polymorph (meV/atom): 305.7
DFT formation energy (meV/atom): 393

=====

DFT (GGA-PBE) results for Be2TeCl after structural relaxation.

a = 3.736 Å, b = 3.735 Å, c = 5.209 Å
α = 90.00°, β = 90.00°, γ = 90.00°
Fractional coordinates of all 4 atoms:
Be  0.000  0.000  0.940
Cl  0.000  0.000  0.340
Be  0.500  0.500  0.364
Te  0.500  0.500  0.857

Results
Raw formation energy (eV per atom): 0.092
Space group: P4mm (99)
E above lowest polymorph (meV/atom): 236.1

=====

DFT (GGA-PBE) results for NiMoP2Se after structural relaxation.

a = 4.793 Å, b = 4.167 Å, c = 4.793 Å
α = 90.00°, β = 90.00°, γ = 90.00°
Fractional coordinates of all 5 atoms:
Ni  0.000  0.500  0.000
Mo  0.500  0.500  0.500
P  0.500  0.000  0.000
Se  0.000  0.000  0.000
P  0.000  0.000  0.500

Results
Raw formation energy (eV per atom): 1.263
Space group: P4/mmm (123)

=====

> Number 5 is which compound?

Nd8P3AuSe4